# 1
Material: MgV2SiAg
Method: DFT, PBE
State: relaxed

Calculated values
The mass density comes out at 4.030 g cm⁻³. As for the total magnetization: 1.221 μB per atom. As for the space-group type: No. 123. Its uncorrected formation energy is 1.581 eV/atom. The density of states at the Fermi level comes out at 5.44 states/eV/cell.

abc: 4.840 4.840 4.611
angles: 90.00 90.00 90.00
Atoms (fractional coordinates):
Mg: 0.000 0.000 0.000
V: 0.000 0.500 0.000
V: 0.500 0.000 0.000
Si: 0.500 0.500 0.500
Ag: 0.000 0.000 0.500

***

# 2
Material: YMgSiAg
Method: DFT, PBE
State: relaxed

Calculated values
The mass density comes out at 5.049 g cm⁻³. As for the total magnetization: 0.000 μB per atom. As for the space-group type: No. 216. Its uncorrected formation energy is -0.323 eV/atom. The density of states at the Fermi level comes out at 8.84 states/eV/cell.

abc: 6.895 6.895 6.895
angles: 90.00 90.00 90.00
Atoms (fractional coordinates):
Y: 0.000 0.000 0.000
Y: 0.000 0.500 0.500
Y: 0.500 0.000 0.500
Y: 0.500 0.500 0.000
Mg: 0.000 0.000 0.500
Mg: 0.000 0.500 0.000
Mg: 0.500 0.000 0.000
Mg: 0.500 0.500 0.500
Si: 0.250 0.250 0.750
Si: 0.250 0.750 0.250
Si: 0.750 0.250 0.250
Si: 0.750 0.750 0.750
Ag: 0.250 0.250 0.250
Ag: 0.250 0.750 0.750
Ag: 0.750 0.250 0.750
Ag: 0.750 0.750 0.250

***

- Which formula does entry 2 have?
  YMgSiAg